The following is a DFT calculation (PBE with a Hubbard U) of Nb2FePdO after structural relaxation.

Cell lengths 4.588, 4.588, 4.484 Å; angles 90.00, 90.00, 90.00 degrees
Fractional coordinates of all 5 atoms:
Nb  0.000  0.500  0.000
Nb  0.500  0.000  0.000
Fe  0.000  0.000  0.000
Pd  0.000  0.000  0.500
O  0.500  0.500  0.500

Results
Crystal system   tetragonal
DFT total energy   -0.414 Ry/atom